DFT (PBE) results for a geometry-optimized Y3Ho2Cd2 structure.

a b c (Å): 8.532 8.532 8.532
angles (deg): 36.77 36.77 36.77
Positions (direct):
Y 0.000 0.000 0.000
Y 0.157 0.157 0.157
Y 0.843 0.843 0.843
Ho 0.426 0.426 0.426
Ho 0.574 0.574 0.574
Cd 0.288 0.288 0.288
Cd 0.712 0.712 0.712

Output
DOS(E_F)   8.199 states/eV/cell
Total moment   0.000 μB per atom
Space group   R-3m (166)
Offset from the most stable computed form   0 meV per atom